The following is a DFT calculation (GGA+U) of a relaxed CrGaF crystal.

As for the density: 4.35 g cm⁻³. As for the space group: Cm. The density of states at the Fermi level comes out at 0.172 states/eV per atom. The offset from the most stable computed form is 8 meV/atom. The value obtained for the electronic total energy is -60.8 eV per cell.

Geometry as extended XYZ:
```
12
Lattice="-1.489 3.471 -6.033 -3.618 0.852 1.383 3.010 5.660 4.386" Properties=species:S:1:pos:R:3 pbc="T T T"
Ga -0.629 2.366 -3.102
Ga -1.930 4.196 -1.946
Ga -0.933 5.622 -0.217
Ga 1.384 6.600 -0.445
Cr 0.312 2.199 -0.538
Cr 0.288 5.864 -2.860
Cr -3.026 3.460 -4.361
Cr 0.008 5.455 2.347
F 1.785 4.557 1.863
F 0.675 5.240 4.223
F -1.529 2.153 0.361
F 0.979 1.984 1.338
```